(1)
DFT (PBE-GGA) results for a relaxed NiAuBr2 crystal.

Computed properties:
Formation energy (no corrections) = 0.34 eV/atom
Excess energy over the best structure of this formula in the dataset = 0.349 eV per atom
Final energy = -11.04 eV/cell
Total magnetization = 0.2397 μB/atom

Cell: 5.2721 5.2721 3.7123 Å, 91.34 91.34 90.07°
With the nearest neighbours (Å) after each atom.
Element x y z (fractional)
Au  0.0000  0.0000  0.0000  4 Br 2.64
Br  0.5000  0.0000  0.0000  2 Ni 2.64, 2 Au 2.64
Ni  0.5000  0.5000  0.0000  4 Br 2.64
Br  0.0000  0.5000  0.0000  2 Ni 2.64, 2 Au 2.64



(2)
DFT (PBE-GGA) results for a relaxed Pu2ZrScAs4 crystal.

Computed properties:
Final energy = -71.37 eV/cell
Total magnetization = 0.0091 μB/atom
ΔH_f (0 K) = -1.1533 eV per atom

Cell: 3.9985 6.9397 6.9155 Å, 109.47 90.00 90.00°
With the nearest neighbours (Å) after each atom.
Element x y z (fractional)
As  0.5000  0.7540  0.7649  1 Sc 2.77, 2 Zr 2.78, 3 Pu 2.88-2.89
As  0.0000  0.7456  0.2340  1 Zr 2.76, 2 Sc 2.77, 3 Pu 2.89
As  0.5000  0.2460  0.2351  1 Sc 2.77, 2 Zr 2.78, 3 Pu 2.88-2.89
Sc  0.5000  0.5000  0.0000  6 As 2.77
Pu  0.0000  0.5000  0.5000  6 As 2.88-2.89
As  0.0000  0.2544  0.7660  1 Zr 2.76, 2 Sc 2.77, 3 Pu 2.89
Zr  0.0000  0.0000  0.0000  6 As 2.76-2.78
Pu  0.5000  0.0000  0.5000  6 As 2.89



(3)
DFT (PBE-GGA) results for a relaxed MgScAl2 crystal.

Computed properties:
Final energy = -15.64 eV/cell
Total magnetization = 0.0000 μB/atom
ΔH_f (0 K) = -0.0579 eV per atom

Cell: 4.7562 4.7562 4.7562 Å, 60.00 60.00 60.00°
With the nearest neighbours (Å) after each atom.
Element x y z (fractional)
Al  0.0000  0.0000  0.0000  4 Al 2.91, 4 Sc 2.91
Mg  0.5000  0.5000  0.5000  4 Al 2.91, 4 Sc 2.91
Sc  0.7500  0.7500  0.7500  4 Al 2.91, 4 Mg 2.91
Al  0.2500  0.2500  0.2500  4 Mg 2.91, 4 Al 2.91



(4)
DFT (PBE-GGA) results for a relaxed Sc2VSn crystal.

Computed properties:
Final energy = -24.42 eV/cell
Total magnetization = 0.5521 μB/atom
ΔH_f (0 K) = 0.3414 eV per atom

Cell: 10.3525 10.3525 10.3525 Å, 17.60 17.60 17.60°
With the nearest neighbours (Å) after each atom.
Element x y z (fractional)
Sc  0.0854  0.0854  0.0854  1 V 2.61
V  0.0000  0.0000  0.0000  2 Sc 2.61
Sn  0.5000  0.5000  0.5000  6 Sc 3.08, 6 Sn 3.17
Sc  0.9146  0.9146  0.9146  1 V 2.61



(5)
DFT (PBE-GGA) results for a relaxed FeSb2PI crystal.

Computed properties:
Formation energy (no corrections) = 0.77 eV/atom
Excess energy over the best structure of this formula in the dataset = 0.000 eV per atom
Final energy = -19.82 eV/cell
Total magnetization = 0.0404 μB/atom

Cell: 4.8333 4.8333 5.2962 Å, 90.00 90.00 90.00°
With the nearest neighbours (Å) after each atom.
Element x y z (fractional)
Fe  0.0000  0.0000  0.0000  4 Sb 2.42, 2 I 2.65
P  0.5000  0.5000  0.5000  4 I 3.42, 8 Sb 3.59
Sb  0.5000  0.0000  0.0000  2 Fe 2.42
Sb  0.0000  0.5000  0.0000  2 Fe 2.42
I  0.0000  0.0000  0.5000  2 Fe 2.65



(6)
DFT (PBE-GGA) results for a relaxed LaMg2 crystal.

Computed properties:
Final energy = -16.15 eV/cell
Total magnetization = 0.0000 μB/atom
ΔH_f (0 K) = 0.0139 eV per atom

Cell: 6.7190 6.7190 8.0091 Å, 74.22 74.22 28.87°
With the nearest neighbours (Å) after each atom.
Element x y z (fractional)
Mg  0.2734  0.2734  0.9257  8 Mg 3.28-3.54, 4 La 3.45-3.61
Mg  0.6655  0.6655  0.6654  8 Mg 3.24-3.62, 4 La 3.48-3.50
La  0.3368  0.3368  0.3156  4 La 3.15-3.35, 6 Mg 3.43-3.52
Mg  0.9511  0.9511  0.6100  9 Mg 3.25-3.62, 3 La 3.50-3.54
Mg  0.6108  0.6108  0.2953  7 Mg 3.24-3.54, 5 La 3.42-3.52
La  0.9958  0.9958  0.0215  4 La 3.15-3.35, 6 Mg 3.42-3.50



(7)
DFT (PBE-GGA) results for a relaxed ReNi2Te crystal.

Computed properties:
Formation energy (no corrections) = 0.40 eV/atom
Final energy = -25.54 eV/cell
Total magnetization = 0.0000 μB/atom

Cell: 4.3469 4.3469 4.3469 Å, 60.00 60.00 60.00°
With the nearest neighbours (Å) after each atom.
Element x y z (fractional)
Re  0.5000  0.5000  0.5000  4 Ni 2.66, 4 Te 2.66
Ni  0.2500  0.2500  0.2500  4 Re 2.66, 4 Ni 2.66
Te  0.7500  0.7500  0.7500  4 Ni 2.66, 4 Re 2.66
Ni  0.0000  0.0000  0.0000  4 Ni 2.66, 4 Te 2.66



(8)
DFT (PBE-GGA) results for a relaxed Ce2PaAs3 crystal.

Computed properties:
Excess energy over the best structure of this formula in the dataset = 0.002 eV per atom
Final energy = -43.11 eV/cell
Total magnetization = 0.2729 μB/atom
ΔH_f (0 K) = -1.3002 eV per atom

Cell: 4.1682 5.8909 7.2285 Å, 114.05 106.76 90.00°
With the nearest neighbours (Å) after each atom.
Element x y z (fractional)
Ce  0.1683  0.1683  0.8366  6 As 2.95-2.99
As  0.8391  0.3391  0.1782  2 Pa 2.90, 4 Ce 2.95-2.99
As  0.5000  0.0000  0.5000  2 Pa 2.95, 4 Ce 2.96
As  0.1609  0.6609  0.8218  2 Pa 2.90, 4 Ce 2.95-2.99
Ce  0.8317  0.8317  0.1634  6 As 2.95-2.99
Pa  0.5000  0.5000  0.5000  6 As 2.90-2.95



(9)
DFT (PBE-GGA) results for a relaxed Fe2CuHPt crystal.

Computed properties:
Excess energy over the best structure of this formula in the dataset = 0.025 eV per atom
Final energy = -30.45 eV/cell
Total magnetization = 1.1366 μB/atom

Cell: 3.7436 3.7436 3.8903 Å, 90.00 90.00 90.00°
With the nearest neighbours (Å) after each atom.
Element x y z (fractional)
Fe  0.5000  0.0000  0.0000  2 H 1.87
Pt  0.0000  0.0000  0.5000  2 H 1.95
Cu  0.5000  0.5000  0.5000  4 Pt 2.65, 8 Fe 2.70
H  0.0000  0.0000  0.0000  4 Fe 1.87, 2 Pt 1.95
Fe  0.0000  0.5000  0.0000  2 H 1.87



(10)
DFT (PBE-GGA) results for a relaxed HfSc2TiAs4 crystal.

Computed properties:
Final energy = -58.25 eV/cell
Total magnetization = 0.0315 μB/atom
ΔH_f (0 K) = -1.1430 eV per atom

Cell: 3.8008 6.5841 6.6430 Å, 109.39 90.00 90.00°
With the nearest neighbours (Å) after each atom.
Element x y z (fractional)
Sc  0.5000  0.0000  0.5000  6 As 2.74
As  0.5000  0.7459  0.7543  1 Ti 2.65, 2 Hf 2.69, 3 Sc 2.70-2.74
Ti  0.5000  0.5000  0.0000  6 As 2.65
As  0.0000  0.2583  0.7586  2 Ti 2.65, 1 Hf 2.70, 3 Sc 2.70-2.74
As  0.0000  0.7417  0.2414  2 Ti 2.65, 1 Hf 2.70, 3 Sc 2.70-2.74
Sc  0.0000  0.5000  0.5000  6 As 2.70
Hf  0.0000  0.0000  0.0000  6 As 2.69-2.70
As  0.5000  0.2541  0.2457  1 Ti 2.65, 2 Hf 2.69, 3 Sc 2.70-2.74



(11)
DFT (PBE-GGA) results for a relaxed CsMg2MnSn crystal.

Computed properties:
Final energy = -11.93 eV/cell
Total magnetization = 0.0001 μB/atom
ΔH_f (0 K) = 1.0572 eV per atom

Cell: 5.2573 5.2594 5.2573 Å, 90.00 90.00 90.00°
With the nearest neighbours (Å) after each atom.
Element x y z (fractional)
Mn  0.0000  0.0000  0.0000  4 Mg 2.63, 2 Cs 2.63
Sn  0.5000  0.5000  0.5000  4 Cs 3.72, 8 Mg 3.72
Cs  0.0000  0.5000  0.0000  2 Mn 2.63
Mg  0.5000  0.0000  0.0000  2 Mn 2.63
Mg  0.0000  0.0000  0.5000  2 Mn 2.63



(12)
DFT (PBE-GGA) results for a relaxed Al2PtBr crystal.

Computed properties:
Formation energy (no corrections) = -0.41 eV/atom
Excess energy over the best structure of this formula in the dataset = 0.217 eV per atom
Final energy = -16.82 eV/cell
Total magnetization = 0.0000 μB/atom

Cell: 8.3759 8.3759 8.3759 Å, 157.35 155.45 33.65°
With the nearest neighbours (Å) after each atom.
Element x y z (fractional)
Al  0.7427  0.2427  0.5000  4 Pt 2.52
Al  0.0779  0.0779  0.0000  2 Pt 2.54
Br  0.4807  0.4807  0.0000  4 Al 2.88
Pt  0.1987  0.6987  0.5000  6 Al 2.52-2.54



The highest total magnetization belongs to which entry? Fe2CuHPt



Number 3 is which compound? MgScAl2



Copy entry 2 word for word.
DFT (PBE-GGA) results for a relaxed Pu2ZrScAs4 crystal.

Computed properties:
Final energy = -71.37 eV/cell
Total magnetization = 0.0091 μB/atom
ΔH_f (0 K) = -1.1533 eV per atom

Cell: 3.9985 6.9397 6.9155 Å, 109.47 90.00 90.00°
With the nearest neighbours (Å) after each atom.
Element x y z (fractional)
As  0.5000  0.7540  0.7649  1 Sc 2.77, 2 Zr 2.78, 3 Pu 2.88-2.89
As  0.0000  0.7456  0.2340  1 Zr 2.76, 2 Sc 2.77, 3 Pu 2.89
As  0.5000  0.2460  0.2351  1 Sc 2.77, 2 Zr 2.78, 3 Pu 2.88-2.89
Sc  0.5000  0.5000  0.0000  6 As 2.77
Pu  0.0000  0.5000  0.5000  6 As 2.88-2.89
As  0.0000  0.2544  0.7660  1 Zr 2.76, 2 Sc 2.77, 3 Pu 2.89
Zr  0.0000  0.0000  0.0000  6 As 2.76-2.78
Pu  0.5000  0.0000  0.5000  6 As 2.89



Look up the total magnetization of the second one. 0.0091 μB/atom